The following is a DFT calculation (GGA-PBE) of a relaxed structure of NaCaO3.

total DFT energy (no corrections): -22.62 eV/cell
ΔE_f (raw): -0.886 eV/atom
SG: No. 221
D(E_F): 0.51 states/eV/atom
magnetic moment: 3.00 μB/cell

Cell: 4.384 4.384 4.384 Å, 90.00 90.00 90.00°
Fractional coordinates of all 5 atoms:
Na  0.000  0.000  0.000
Ca  0.500  0.500  0.500
O  0.000  0.500  0.500
O  0.500  0.000  0.500
O  0.500  0.500  0.000